No. 1
NaTeCl5 | PBE-GGA | relaxed

## Properties
Energy (eV per atom): -2.826
Space-group type: No. 15
Magnetic moment (μB/f.u.): 0.000

abc: 7.015 7.015 10.318
angles: 110.14 110.14 72.54
Fractional coordinates of all 14 atoms:
Na  0.011  0.989  0.750
Na  0.989  0.011  0.250
Te  0.500  0.500  0.000
Te  0.500  0.500  0.500
Cl  0.142  0.721  0.510
Cl  0.178  0.354  0.870
Cl  0.279  0.858  0.990
Cl  0.354  0.178  0.370
Cl  0.416  0.584  0.250
Cl  0.584  0.416  0.750
Cl  0.646  0.822  0.630
Cl  0.721  0.142  0.010
Cl  0.822  0.646  0.130
Cl  0.858  0.279  0.490


No. 2
HfHI3 | PBE-GGA | relaxed

## Properties
Energy (eV per atom): -3.751
Space-group type: No. 12
Magnetic moment (μB/f.u.): 0.000

abc: 6.843 6.843 7.730
angles: 98.21 98.21 61.82
Fractional coordinates of all 10 atoms:
Hf  0.205  0.795  0.000
Hf  0.795  0.205  0.000
H  0.340  0.660  0.500
H  0.660  0.340  0.500
I  0.129  0.129  0.299
I  0.183  0.183  0.852
I  0.485  0.485  0.265
I  0.515  0.515  0.735
I  0.817  0.817  0.148
I  0.871  0.871  0.701


No. 3
NbCd | PBE-GGA | relaxed

## Properties
Energy relative to the elements (meV per atom): 2079
Energy (eV per atom): -3.413
Space-group type: No. 216
Magnetic moment (μB/f.u.): 0.000

abc: 4.379 4.379 4.379
angles: 60.00 60.00 60.00
Fractional coordinates of all 2 atoms:
Nb  0.000  0.000  0.000
Cd  0.750  0.750  0.750


No. 4
ScCu3Pd4 | PBE-GGA | relaxed

## Properties
Energy relative to the elements (meV per atom): -437
Energy (eV per atom): -5.361
Space-group type: No. 123
Magnetic moment (μB/f.u.): 0.000

abc: 4.110 4.110 6.936
angles: 90.00 90.00 90.00
Fractional coordinates of all 8 atoms:
Sc  0.000  0.000  0.000
Cu  0.000  0.000  0.500
Cu  0.500  0.500  0.000
Cu  0.500  0.500  0.500
Pd  0.000  0.500  0.260
Pd  0.000  0.500  0.740
Pd  0.500  0.000  0.260
Pd  0.500  0.000  0.740


No. 5
TeS3O | PBE-GGA | relaxed

## Properties
Energy (eV per atom): -3.307
Space-group type: No. 221
Magnetic moment (μB/f.u.): 0.000

abc: 4.360 4.360 4.360
angles: 90.00 90.00 90.00
Fractional coordinates of all 5 atoms:
Te  0.000  0.000  0.000
S  0.000  0.500  0.500
S  0.500  0.000  0.500
S  0.500  0.500  0.000
O  0.500  0.500  0.500


No. 6
YMn2Cu | PBE-GGA | relaxed

## Properties
Energy relative to the elements (meV per atom): 269
Energy (eV per atom): -6.956
Space-group type: No. 119
Magnetic moment (μB/f.u.): 6.385

abc: 5.033 5.033 5.033
angles: 132.56 132.56 69.35
Fractional coordinates of all 4 atoms:
Y  0.000  0.000  0.000
Mn  0.500  0.500  0.000
Mn  0.750  0.250  0.500
Cu  0.250  0.750  0.500


No. 7
SrCr2Se | PBE-GGA | relaxed

## Properties
Energy (eV per atom): -5.931
Space-group type: No. 166
Magnetic moment (μB/f.u.): 0.010

abc: 6.227 6.227 6.227
angles: 39.16 39.16 39.16
Fractional coordinates of all 4 atoms:
Sr  0.000  0.000  0.000
Cr  0.178  0.178  0.178
Cr  0.822  0.822  0.822
Se  0.500  0.500  0.500


No. 8
FeRu3C | PBE-GGA | relaxed

## Properties
Energy relative to the elements (meV per atom): 2609
Energy (eV per atom): -6.493
Space-group type: No. 221
Magnetic moment (μB/f.u.): 0.000

abc: 4.354 4.354 4.354
angles: 90.00 90.00 90.00
Fractional coordinates of all 5 atoms:
Fe  0.000  0.000  0.000
Ru  0.000  0.000  0.500
Ru  0.000  0.500  0.000
Ru  0.500  0.000  0.000
C  0.500  0.500  0.500


- Which of these has the highest magnetic moment?
  YMn2Cu